(1)
Entry from the Alexandria database: a geometry-optimized LiAc2Zn3Pd4 structure (PBE).

a = 4.3605 Å, b = 4.3605 Å, c = 10.8363 Å
α = 90.00°, β = 90.00°, γ = 90.00°
Last column: nearest neighbours and their distance in Å.
Space group P-4m2 (No. 115)
Symmetry-distinct sites (fractional):
Li (0.0000, 0.0000, 0.0000) [1 per cell]  4 Pd 2.64
Ac (0.0000, 0.5000, 0.7427) [2 per cell]  6 Zn 3.34-3.54, 8 Pd 3.35-3.42, 2 Li 3.54
Zn (0.0000, 0.5000, 0.3752) [2 per cell]  5 Pd 2.57-2.58
Zn (0.5000, 0.5000, 0.0000) [1 per cell]  4 Pd 2.64
Pd (0.0000, 0.0000, 0.5000) [1 per cell]  4 Zn 2.57
Pd (0.0000, 0.5000, 0.1373) [2 per cell]  3 Zn 2.58-2.64, 2 Li 2.64
Pd (0.5000, 0.5000, 0.5000) [1 per cell]  4 Zn 2.57

Calculated values
formation enthalpy at 0 K	-0.628	eV/atom
theoretical density	8.73	g/cm3

=====

(2)
Entry from the Alexandria database: a geometry-optimized HoErTiN3 structure (PBE).

a = 6.4357 Å, b = 3.2463 Å, c = 9.1533 Å
α = 90.00°, β = 91.77°, γ = 90.00°
Last column: nearest neighbours and their distance in Å.
Space group P2_1/m (No. 11)
Symmetry-distinct sites (fractional):
Ho (0.1788, 0.2500, 0.2377) [2 per cell]  6 N 2.34-2.57
Er (0.3426, 0.7500, 0.8835) [2 per cell]  5 N 2.26-2.39
Ti (0.1409, 0.2500, 0.5743) [2 per cell]  4 N 1.96-2.11
N (0.1181, 0.2500, 0.7877) [2 per cell]  1 Ti 1.96
N (0.1853, 0.7500, 0.4550) [2 per cell]  3 Ti 1.98-2.11
N (0.3857, 0.7500, 0.1292) [2 per cell]  3 Er 2.26-2.39, 2 Ho 2.34

Calculated values
uncorrected formation energy	-1.39	eV per atom
theoretical density	7.33	g/cm3

=====

(3)
Entry from the Alexandria database: a geometry-optimized PmTh2RuN4 structure (PBE).

a = 3.4971 Å, b = 12.1302 Å, c = 11.9050 Å
α = 90.00°, β = 90.00°, γ = 90.00°
Last column: nearest neighbours and their distance in Å.
Space group Cmcm (No. 63)
Symmetry-distinct sites (fractional):
Pm (0.0000, 0.1133, 0.2500) [4 per cell]  6 N 2.56-2.66
Th (0.0000, 0.3690, 0.0545) [8 per cell]  6 N 2.42-2.61
Ru (0.0000, 0.1479, 0.7500) [4 per cell]  4 N 2.14-2.17
N (0.0000, 0.0000, 0.0000) [4 per cell]  4 Th 2.45
N (0.0000, 0.2751, 0.6253) [8 per cell]  1 Ru 2.14
N (0.0000, 0.4586, 0.2500) [4 per cell]  2 Ru 2.17

Calculated values
uncorrected formation energy	-1.07	eV per atom
theoretical density	10.08	g/cm3

=====

(4)
Entry from the Alexandria database: a geometry-optimized Mo2IrBr structure (PBE).

a = 3.9538 Å, b = 3.9538 Å, c = 8.3502 Å
α = 90.00°, β = 90.00°, γ = 90.00°
Last column: nearest neighbours and their distance in Å.
Space group I-4m2 (No. 119)
Symmetry-distinct sites (fractional):
Mo (0.0000, 0.0000, 0.0000) [2 per cell]  4 Ir 2.80, 4 Mo 2.88, 4 Br 2.88
Mo (0.0000, 0.5000, 0.2500) [2 per cell]  4 Br 2.80, 4 Mo 2.88, 4 Ir 2.88
Ir (0.0000, 0.0000, 0.5000) [2 per cell]  8 Mo 2.80-2.88, 4 Br 2.88
Br (0.0000, 0.5000, 0.7500) [2 per cell]  8 Mo 2.80-2.88, 4 Ir 2.88

Calculated values
energy above the most stable polymorph in this dataset	0.590	eV per atom
uncorrected formation energy	0.98	eV per atom
theoretical density	11.80	g/cm3

=====

(5)
Entry from the Alexandria database: a geometry-optimized Dy7Ga2Te2 structure (PBE).

a = 7.8588 Å, b = 10.7277 Å, c = 7.6028 Å
α = 90.00°, β = 90.00°, γ = 90.00°
Last column: nearest neighbours and their distance in Å.
Space group Cmmm (No. 65)
Symmetry-distinct sites (fractional):
Dy (0.0000, 0.0000, 0.0000) [2 per cell]  2 Te 3.04
Dy (0.0000, 0.5000, 0.2763) [4 per cell]  2 Ga 3.11, 2 Te 3.13, 5 Dy 3.33-3.40
Dy (0.2500, 0.2500, 0.2907) [8 per cell]  2 Te 2.98, 3 Dy 3.18-3.33, 2 Ga 3.18
Ga (0.1690, 0.0000, 0.5000) [4 per cell]  1 Ga 2.66
Te (0.0000, 0.2837, 0.0000) [4 per cell]  7 Dy 2.98-3.13

Calculated values
energy above the most stable polymorph in this dataset	0.363	eV per atom
uncorrected formation energy	-0.37	eV per atom
theoretical density	7.94	g/cm3

=====

(6)
Entry from the Alexandria database: a geometry-optimized YCrIr3 structure (PBE).

a = 4.5572 Å, b = 4.5572 Å, c = 4.5572 Å
α = 90.00°, β = 90.00°, γ = 90.00°
Last column: nearest neighbours and their distance in Å.
Space group Pm-3m (No. 221)
Symmetry-distinct sites (fractional):
Y (0.0000, 0.0000, 0.0000) [1 per cell]  12 Ir 3.22
Cr (0.5000, 0.5000, 0.5000) [1 per cell]  6 Ir 2.28
Ir (0.0000, 0.5000, 0.5000) [3 per cell]  2 Cr 2.28

Calculated values
formation enthalpy at 0 K	0.306	eV/atom
energy above the most stable polymorph in this dataset	0.000	eV per atom
theoretical density	12.59	g/cm3

=====

(7)
Entry from the Alexandria database: a geometry-optimized CsMgPC structure (PBE).

a = 3.6046 Å, b = 6.0906 Å, c = 4.9850 Å
α = 90.00°, β = 90.00°, γ = 90.00°
Last column: nearest neighbours and their distance in Å.
Space group Pmm2 (No. 25)
Symmetry-distinct sites (fractional):
Cs (0.0000, 0.0000, 0.0000) [1 per cell]  2 Cs 3.60, 4 C 3.64, 4 P 3.64, 2 Mg 3.71
Mg (0.0000, 0.5000, 0.4254) [1 per cell]  2 C 2.21
P (0.5000, 0.5000, 0.8311) [1 per cell]  1 C 1.68
C (0.5000, 0.5000, 0.1672) [1 per cell]  1 P 1.68

Calculated values
formation enthalpy at 0 K	0.268	eV/atom
energy above the most stable polymorph in this dataset	0.013	eV per atom
theoretical density	3.04	g/cm3

=====

(8)
Entry from the Alexandria database: a geometry-optimized SbAs2Au structure (PBE).

a = 6.0950 Å, b = 6.0950 Å, c = 12.1229 Å
α = 90.00°, β = 90.00°, γ = 90.00°
Last column: nearest neighbours and their distance in Å.
Space group I-42d (No. 122)
Symmetry-distinct sites (fractional):
Sb (0.0000, 0.0000, 0.0000) [4 per cell]  4 As 2.72
As (0.2270, 0.2500, 0.6250) [8 per cell]  2 Au 2.56, 2 Sb 2.72
Au (0.0000, 0.0000, 0.5000) [4 per cell]  4 As 2.56

Calculated values
uncorrected formation energy	0.09	eV per atom
theoretical density	6.91	g/cm3

=====

(9)
Entry from the Alexandria database: a geometry-optimized Tb8Er3In2 structure (PBE).

a = 8.1923 Å, b = 5.5358 Å, c = 10.0527 Å
α = 90.00°, β = 114.02°, γ = 90.00°
Last column: nearest neighbours and their distance in Å.
Space group P2/m (No. 10)
Symmetry-distinct sites (fractional):
Tb (0.0895, 0.0000, 0.2671) [2 per cell]  2 In 3.21-3.26, 3 Er 3.22-3.50, 3 Tb 3.37-3.43
Tb (0.1769, 0.5000, 0.8542) [2 per cell]  2 In 3.23, 5 Tb 3.43-3.56
Tb (0.3223, 0.0000, 0.7328) [2 per cell]  2 In 3.21-3.25, 3 Er 3.22-3.50, 3 Tb 3.37-3.43
Tb (0.3710, 0.5000, 0.2419) [2 per cell]  2 In 3.35, 4 Er 3.39-3.64, 5 Tb 3.56-3.68
Er (0.2033, 0.5000, 0.5000) [2 per cell]  3 Er 3.33-3.68, 8 Tb 3.39-3.65
Er (0.5000, 0.0000, 0.5000) [1 per cell]  4 Tb 3.22
In (0.2685, 0.0000, 0.0362) [2 per cell]  8 Tb 3.21-3.35

Calculated values
formation enthalpy at 0 K	0.026	eV/atom
energy above the most stable polymorph in this dataset	0.079	eV per atom
theoretical density	7.99	g/cm3

=====

(10)
Entry from the Alexandria database: a geometry-optimized Ce8GaPb2 structure (PBE).

a = 8.8491 Å, b = 14.4669 Å, c = 6.0473 Å
α = 90.00°, β = 126.24°, γ = 90.00°
Last column: nearest neighbours and their distance in Å.
Space group C2/m (No. 12)
Symmetry-distinct sites (fractional):
Ce (0.0000, 0.2161, 0.0000) [4 per cell]  1 Ga 3.13, 2 Pb 3.28, 2 Ce 3.29
Ce (0.1288, 0.5000, 0.8511) [4 per cell]  1 Ga 2.85
Ce (0.1805, 0.0922, 0.5602) [8 per cell]  2 Ce 2.67-2.83
Ga (0.0000, 0.0000, 0.0000) [2 per cell]  8 Ce 2.85-3.13
Pb (0.0000, 0.3044, 0.5000) [4 per cell]  10 Ce 3.28-3.60

Calculated values
formation enthalpy at 0 K	-0.185	eV/atom
theoretical density	8.54	g/cm3

=====

(11)
Entry from the Alexandria database: a geometry-optimized SmBeIr structure (PBE).

a = 3.9579 Å, b = 3.9579 Å, c = 8.2056 Å
α = 90.00°, β = 90.00°, γ = 120.00°
Last column: nearest neighbours and their distance in Å.
Space group P6_3/mmc (No. 194)
Symmetry-distinct sites (fractional):
Sm (0.0000, 0.0000, 0.0000) [2 per cell]  6 Be 3.07, 6 Ir 3.07
Be (0.3333, 0.6667, 0.2500) [2 per cell]  3 Ir 2.29
Ir (0.3333, 0.6667, 0.7500) [2 per cell]  3 Be 2.29

Calculated values
formation enthalpy at 0 K	-0.608	eV/atom
energy above the most stable polymorph in this dataset	0.000	eV per atom
theoretical density	10.49	g/cm3

=====

(12)
Entry from the Alexandria database: a geometry-optimized TlHPd4Pb structure (PBE).

a = 5.7522 Å, b = 14.1286 Å, c = 5.7638 Å
α = 90.00°, β = 90.00°, γ = 90.00°
Last column: nearest neighbours and their distance in Å.
Space group Cmcm (No. 63)
Symmetry-distinct sites (fractional):
Tl (0.0000, 0.0934, 0.2500) [4 per cell]  9 Pd 2.81-3.01
H (0.0000, 0.2477, 0.7500) [4 per cell]  6 Pd 2.01-2.07
Pd (0.0000, 0.1056, 0.7500) [4 per cell]  1 H 2.01
Pd (0.0000, 0.3943, 0.7500) [4 per cell]  1 H 2.07
Pd (0.2500, 0.2500, 0.0000) [8 per cell]  2 H 2.04
Pb (0.0000, 0.4070, 0.2500) [4 per cell]  9 Pd 2.81-3.01

Calculated values
energy	-4.49	eV/atom
theoretical density	11.89	g/cm3